# 1
Here is crystalline TaInO3 at its relaxed geometry from OQMD via LeMat-Bulk. Energies are from PBE.

a = 6.3503 Å, b = 6.3503 Å, c = 8.0446 Å
α = 97.06°, β = 97.06°, γ = 81.10°
Last column: nearest neighbours and their distance in Å.
Atoms (fractional coordinates):
Ta1 0.2021 0.7979 0.0000  6 O 1.89-2.11
Ta2 0.2633 0.2633 0.2012  5 O 1.86-2.00
Ta3 0.7367 0.7367 0.7988  5 O 1.86-2.00
Ta4 0.7979 0.2021 0.0000  6 O 1.89-2.11
In1 0.2449 0.2449 0.7180  1 O 2.38
In2 0.2565 0.7435 0.5000  2 O 2.44
In3 0.7435 0.2565 0.5000  2 O 2.44
In4 0.7551 0.7551 0.2820  1 O 2.38
O1 0.0476 0.6932 0.7782  2 Ta 1.98-2.02
O2 0.1211 0.1211 0.9514  3 Ta 2.11-2.24
O3 0.2239 0.5432 0.1032  2 Ta 1.89-2.00
O4 0.3068 0.9524 0.2218  2 Ta 1.98-2.02
O5 0.3617 0.3617 0.4204  1 Ta 1.86
O6 0.4568 0.7761 0.8968  2 Ta 1.89-2.00
O7 0.5432 0.2239 0.1032  2 Ta 1.89-2.00
O8 0.6383 0.6383 0.5796  1 Ta 1.86
O9 0.6932 0.0476 0.7782  2 Ta 1.98-2.02
O10 0.7761 0.4568 0.8968  2 Ta 1.89-2.00
O11 0.8789 0.8789 0.0486  3 Ta 2.11-2.24
O12 0.9524 0.3068 0.2218  2 Ta 1.98-2.02

=====

# 2
Here is crystalline Hf2Ag2Pb at its relaxed geometry from OQMD via LeMat-Bulk. Energies are from PBE.

E above lowest polymorph ... 0 meV/atom

a = 6.8069 Å, b = 6.8069 Å, c = 6.8069 Å
α = 142.35°, β = 142.35°, γ = 54.31°
Last column: nearest neighbours and their distance in Å.
Atoms (fractional coordinates):
Hf1 0.2500 0.7500 0.5000  4 Ag 2.80, 4 Hf 3.11
Hf2 0.7500 0.2500 0.5000  4 Ag 2.80, 4 Hf 3.11
Ag1 0.1060 0.1060 0.0000  1 Ag 2.57, 4 Hf 2.80
Ag2 0.8940 0.8940 0.0000  1 Ag 2.57, 4 Hf 2.80
Pb1 0.5000 0.5000 0.0000  8 Ag 3.36, 8 Hf 3.74

=====

# 3
Here is crystalline ErIrPd at its relaxed geometry from OQMD via LeMat-Bulk. Energies are from PBE.

E above lowest polymorph ... 0 meV/atom
Energy relative to the elements ... -0.253 eV/atom

a = 4.5026 Å, b = 4.5026 Å, c = 4.5026 Å
α = 60.00°, β = 60.00°, γ = 60.00°
Last column: nearest neighbours and their distance in Å.
Atoms (fractional coordinates):
Er1 0.0000 0.0000 0.0000  4 Ir 2.76
Ir1 0.7500 0.7500 0.7500  4 Er 2.76, 4 Pd 2.76
Pd1 0.5000 0.5000 0.5000  4 Ir 2.76

=====

# 4
Here is crystalline SrDy2As2 at its relaxed geometry from OQMD via LeMat-Bulk. Energies are from PBE.

a = 10.2107 Å, b = 10.2107 Å, c = 10.2107 Å
α = 24.09°, β = 24.09°, γ = 24.09°
Last column: nearest neighbours and their distance in Å.
Atoms (fractional coordinates):
Sr1 0.0000 0.0000 0.0000  6 As 3.18
Dy1 0.2193 0.2193 0.2193  3 As 2.82
Dy2 0.7807 0.7807 0.7807  3 As 2.82
As1 0.4013 0.4013 0.4013  3 Dy 2.82
As2 0.5987 0.5987 0.5987  3 Dy 2.82

=====

# 5
Here is crystalline InNiOsPd at its relaxed geometry from OQMD via LeMat-Bulk. Energies are from PBE.

a = 4.4364 Å, b = 4.4364 Å, c = 4.4364 Å
α = 60.00°, β = 60.00°, γ = 60.00°
Last column: nearest neighbours and their distance in Å.
Atoms (fractional coordinates):
In1 0.0000 0.0000 0.0000  4 Ni 2.72, 4 Pd 2.72
Ni1 0.2500 0.2500 0.2500  4 In 2.72, 4 Os 2.72
Os1 0.5000 0.5000 0.5000  4 Ni 2.72, 4 Pd 2.72
Pd1 0.7500 0.7500 0.7500  4 In 2.72, 4 Os 2.72

=====

# 6
Here is crystalline NaNiH3 at its relaxed geometry from OQMD via LeMat-Bulk. Energies are from PBE.

a = 4.8755 Å, b = 4.8755 Å, c = 4.6172 Å
α = 90.65°, β = 90.65°, γ = 60.01°
Last column: nearest neighbours and their distance in Å.
Atoms (fractional coordinates):
Na1 0.1666 0.1666 0.2500  6 H 2.45
Na2 0.8334 0.8334 0.7500  6 H 2.45
Ni1 0.5000 0.5000 0.0000  6 H 1.65-1.66
Ni2 0.5000 0.5000 0.5000  6 H 1.65-1.66
H1 0.2187 0.6406 0.2479  2 Ni 1.65-1.66
H2 0.3593 0.3593 0.7458  2 Ni 1.65-1.66
H3 0.3594 0.7813 0.7521  2 Ni 1.65-1.66
H4 0.6406 0.2187 0.2479  2 Ni 1.65-1.66
H5 0.6407 0.6407 0.2542  2 Ni 1.65-1.66
H6 0.7813 0.3594 0.7521  2 Ni 1.65-1.66

=====

# 7
Here is crystalline LuInNiPd at its relaxed geometry from OQMD via LeMat-Bulk. Energies are from PBE.

E above lowest polymorph ... 0 meV/atom

a = 4.6512 Å, b = 4.6512 Å, c = 4.6512 Å
α = 60.00°, β = 60.00°, γ = 60.00°
Last column: nearest neighbours and their distance in Å.
Atoms (fractional coordinates):
Lu1 0.0000 0.0000 0.0000  4 Ni 2.85, 4 Pd 2.85
In1 0.5000 0.5000 0.5000  4 Ni 2.85, 4 Pd 2.85
Ni1 0.7500 0.7500 0.7500  4 Lu 2.85, 4 In 2.85
Pd1 0.2500 0.2500 0.2500  4 In 2.85, 4 Lu 2.85

=====

# 8
Here is crystalline AsPd124 at its relaxed geometry from OQMD via LeMat-Bulk. Energies are from PBE.

a = 13.8627 Å, b = 13.8627 Å, c = 13.8627 Å
α = 60.00°, β = 60.00°, γ = 60.00°
Last column: nearest neighbours and their distance in Å.
Atoms (fractional coordinates):
As1 0.0000 0.0000 0.0000  12 Pd 2.75
Pd1 0.0000 0.0000 0.1984  11 Pd 2.75-2.79, 1 As 2.75
Pd2 0.0000 0.0000 0.3996  12 Pd 2.77-2.79
Pd3 0.0000 0.0000 0.6004  12 Pd 2.77-2.79
Pd4 0.0000 0.0000 0.8016  11 Pd 2.75-2.79, 1 As 2.75
Pd5 0.0000 0.1984 0.0000  11 Pd 2.75-2.79, 1 As 2.75
Pd6 0.0000 0.1984 0.8016  11 Pd 2.75-2.79, 1 As 2.75
Pd7 0.0000 0.1997 0.1997  12 Pd 2.77-2.78
Pd8 0.0000 0.1999 0.4000  12 Pd 2.77-2.78
Pd9 0.0000 0.1997 0.6006  12 Pd 2.77-2.78
Pd10 0.0000 0.3994 0.8003  12 Pd 2.77-2.78
Pd11 0.0000 0.3996 0.0000  12 Pd 2.77-2.79
Pd12 0.0000 0.4000 0.1999  12 Pd 2.77-2.78
Pd13 0.0000 0.4000 0.4000  12 Pd 2.77-2.78
Pd14 0.0000 0.3996 0.6004  12 Pd 2.77-2.79
Pd15 0.0000 0.6004 0.0000  12 Pd 2.77-2.79
Pd16 0.0000 0.6004 0.3996  12 Pd 2.77-2.79
Pd17 0.0000 0.6000 0.6000  12 Pd 2.77-2.78
Pd18 0.0000 0.6000 0.8001  12 Pd 2.77-2.78
Pd19 0.0000 0.6006 0.1997  12 Pd 2.77-2.78
Pd20 0.0000 0.8003 0.3994  12 Pd 2.77-2.78
Pd21 0.0000 0.8001 0.6000  12 Pd 2.77-2.78
Pd22 0.0000 0.8003 0.8003  12 Pd 2.77-2.78
Pd23 0.0000 0.8016 0.0000  11 Pd 2.75-2.79, 1 As 2.75
Pd24 0.0000 0.8016 0.1984  11 Pd 2.75-2.79, 1 As 2.75
Pd25 0.1984 0.0000 0.0000  11 Pd 2.75-2.79, 1 As 2.75
Pd26 0.1984 0.0000 0.8016  11 Pd 2.75-2.79, 1 As 2.75
Pd27 0.1984 0.8016 0.0000  11 Pd 2.75-2.79, 1 As 2.75
Pd28 0.1997 0.0000 0.1997  12 Pd 2.77-2.78
Pd29 0.1999 0.0000 0.4000  12 Pd 2.77-2.78
Pd30 0.1997 0.0000 0.6006  12 Pd 2.77-2.78
Pd31 0.1997 0.1997 0.0000  12 Pd 2.77-2.78
Pd32 0.1999 0.1999 0.1999  12 Pd 2.77-2.78
Pd33 0.1999 0.1999 0.4002  12 Pd 2.77-2.78
Pd34 0.1997 0.1997 0.6006  12 Pd 2.77-2.78
Pd35 0.1999 0.4000 0.0000  12 Pd 2.77-2.78
Pd36 0.1999 0.4002 0.1999  12 Pd 2.77-2.78
Pd37 0.1999 0.4000 0.4000  12 Pd 2.77-2.78
Pd38 0.2000 0.4001 0.5999  12 Pd 2.77-2.78
Pd39 0.2000 0.4001 0.8000  12 Pd 2.77-2.78
Pd40 0.2000 0.5999 0.4001  12 Pd 2.77-2.78
Pd41 0.1999 0.6000 0.6000  12 Pd 2.77
Pd42 0.2000 0.5999 0.8000  12 Pd 2.77-2.78
Pd43 0.1997 0.6006 0.0000  12 Pd 2.77-2.78
Pd44 0.1997 0.6006 0.1997  12 Pd 2.77-2.78
Pd45 0.2000 0.8000 0.4001  12 Pd 2.77-2.78
Pd46 0.2000 0.8000 0.5999  12 Pd 2.77-2.78
Pd47 0.2006 0.2006 0.7994  12 Pd 2.77-2.78
Pd48 0.2006 0.7994 0.2006  12 Pd 2.77-2.78
Pd49 0.2006 0.7994 0.7994  12 Pd 2.77-2.78
Pd50 0.3994 0.0000 0.8003  12 Pd 2.77-2.78
Pd51 0.3994 0.8003 0.0000  12 Pd 2.77-2.78
Pd52 0.3994 0.8003 0.8003  12 Pd 2.77-2.78
Pd53 0.3996 0.0000 0.0000  12 Pd 2.77-2.79
Pd54 0.4000 0.0000 0.1999  12 Pd 2.77-2.78
Pd55 0.4000 0.0000 0.4000  12 Pd 2.77-2.78
Pd56 0.3996 0.0000 0.6004  12 Pd 2.77-2.79
Pd57 0.4000 0.1999 0.0000  12 Pd 2.77-2.78
Pd58 0.4002 0.1999 0.1999  12 Pd 2.77-2.78
Pd59 0.4000 0.1999 0.4000  12 Pd 2.77-2.78
Pd60 0.4001 0.2000 0.5999  12 Pd 2.77-2.78
Pd61 0.4001 0.2000 0.8000  12 Pd 2.77-2.78
Pd62 0.4000 0.4000 0.0000  12 Pd 2.77-2.78
Pd63 0.4000 0.4000 0.1999  12 Pd 2.77-2.78
Pd64 0.4000 0.4000 0.4000  12 Pd 2.77
Pd65 0.4000 0.4000 0.6000  12 Pd 2.77
Pd66 0.4000 0.4000 0.8001  12 Pd 2.77
Pd67 0.3996 0.6004 0.0000  12 Pd 2.77-2.79
Pd68 0.4001 0.5999 0.2000  12 Pd 2.77-2.78
Pd69 0.4000 0.6000 0.4000  12 Pd 2.77
Pd70 0.4000 0.6000 0.6000  12 Pd 2.77
Pd71 0.4001 0.5999 0.8000  12 Pd 2.77-2.78
Pd72 0.4001 0.8000 0.2000  12 Pd 2.77-2.78
Pd73 0.4000 0.8001 0.4000  12 Pd 2.77
Pd74 0.4001 0.8000 0.5999  12 Pd 2.77-2.78
Pd75 0.6004 0.0000 0.0000  12 Pd 2.77-2.79
Pd76 0.6004 0.0000 0.3996  12 Pd 2.77-2.79
Pd77 0.6000 0.0000 0.6000  12 Pd 2.77-2.78
Pd78 0.6000 0.0000 0.8001  12 Pd 2.77-2.78
Pd79 0.5999 0.2000 0.4001  12 Pd 2.77-2.78
Pd80 0.6000 0.1999 0.6000  12 Pd 2.77
Pd81 0.5999 0.2000 0.8000  12 Pd 2.77-2.78
Pd82 0.6004 0.3996 0.0000  12 Pd 2.77-2.79
Pd83 0.5999 0.4001 0.2000  12 Pd 2.77-2.78
Pd84 0.6000 0.4000 0.4000  12 Pd 2.77
Pd85 0.6000 0.4000 0.6000  12 Pd 2.77
Pd86 0.5999 0.4001 0.8000  12 Pd 2.77-2.78
Pd87 0.6000 0.6000 0.0000  12 Pd 2.77-2.78
Pd88 0.6000 0.6000 0.1999  12 Pd 2.77
Pd89 0.6000 0.6000 0.4000  12 Pd 2.77
Pd90 0.6000 0.6000 0.6000  12 Pd 2.77
Pd91 0.6000 0.6000 0.8001  12 Pd 2.77-2.78
Pd92 0.6000 0.8001 0.0000  12 Pd 2.77-2.78
Pd93 0.5999 0.8000 0.2000  12 Pd 2.77-2.78
Pd94 0.5999 0.8000 0.4001  12 Pd 2.77-2.78
Pd95 0.6000 0.8001 0.6000  12 Pd 2.77-2.78
Pd96 0.5998 0.8001 0.8001  12 Pd 2.77-2.78
Pd97 0.6006 0.0000 0.1997  12 Pd 2.77-2.78
Pd98 0.6006 0.1997 0.0000  12 Pd 2.77-2.78
Pd99 0.6006 0.1997 0.1997  12 Pd 2.77-2.78
Pd100 0.7994 0.2006 0.2006  12 Pd 2.77-2.78
Pd101 0.7994 0.2006 0.7994  12 Pd 2.77-2.78
Pd102 0.7994 0.7994 0.2006  12 Pd 2.77-2.78
Pd103 0.8003 0.0000 0.3994  12 Pd 2.77-2.78
Pd104 0.8001 0.0000 0.6000  12 Pd 2.77-2.78
Pd105 0.8003 0.0000 0.8003  12 Pd 2.77-2.78
Pd106 0.8000 0.2000 0.4001  12 Pd 2.77-2.78
Pd107 0.8000 0.2000 0.5999  12 Pd 2.77-2.78
Pd108 0.8003 0.3994 0.0000  12 Pd 2.77-2.78
Pd109 0.8003 0.3994 0.8003  12 Pd 2.77-2.78
Pd110 0.8000 0.4001 0.2000  12 Pd 2.77-2.78
Pd111 0.8001 0.4000 0.4000  12 Pd 2.77
Pd112 0.8000 0.4001 0.5999  12 Pd 2.77-2.78
Pd113 0.8001 0.6000 0.0000  12 Pd 2.77-2.78
Pd114 0.8000 0.5999 0.2000  12 Pd 2.77-2.78
Pd115 0.8000 0.5999 0.4001  12 Pd 2.77-2.78
Pd116 0.8001 0.6000 0.6000  12 Pd 2.77-2.78
Pd117 0.8001 0.5998 0.8001  12 Pd 2.77-2.78
Pd118 0.8003 0.8003 0.0000  12 Pd 2.77-2.78
Pd119 0.8003 0.8003 0.3994  12 Pd 2.77-2.78
Pd120 0.8001 0.8001 0.5998  12 Pd 2.77-2.78
Pd121 0.8001 0.8001 0.8001  12 Pd 2.77-2.78
Pd122 0.8016 0.0000 0.0000  11 Pd 2.75-2.79, 1 As 2.75
Pd123 0.8016 0.0000 0.1984  11 Pd 2.75-2.79, 1 As 2.75
Pd124 0.8016 0.1984 0.0000  11 Pd 2.75-2.79, 1 As 2.75

=====

# 9
Here is crystalline DyTmO2 at its relaxed geometry from OQMD via LeMat-Bulk. Energies are from PBE.

a = 3.3632 Å, b = 3.3632 Å, c = 4.7489 Å
α = 90.00°, β = 90.00°, γ = 90.00°
Last column: nearest neighbours and their distance in Å.
Atoms (fractional coordinates):
Dy1 0.0000 0.0000 0.0000  6 O 2.37-2.38
Tm1 0.5000 0.5000 0.5000  6 O 2.37-2.38
O1 0.0000 0.0000 0.5000  2 Dy 2.37, 4 Tm 2.38
O2 0.5000 0.5000 0.0000  2 Tm 2.37, 4 Dy 2.38

=====

# 10
Here is crystalline PmSm2P3 at its relaxed geometry from OQMD via LeMat-Bulk. Energies are from PBE.

a = 4.1128 Å, b = 4.1128 Å, c = 10.0773 Å
α = 90.00°, β = 90.00°, γ = 120.00°
Last column: nearest neighbours and their distance in Å.
Atoms (fractional coordinates):
Pm1 0.0000 0.0000 0.0000  6 P 2.92
Sm1 0.3333 0.6667 0.3339  6 P 2.91
Sm2 0.6667 0.3333 0.6661  6 P 2.91
P1 0.0000 0.0000 0.5000  6 Sm 2.91
P2 0.3333 0.6667 0.8322  3 Sm 2.91, 3 Pm 2.92
P3 0.6667 0.3333 0.1678  3 Sm 2.91, 3 Pm 2.92

=====

# 11
Here is crystalline KTbTm at its relaxed geometry from OQMD via LeMat-Bulk. Energies are from PBE.

E above lowest polymorph ... 0 meV/atom

a = 5.8507 Å, b = 5.8507 Å, c = 5.8507 Å
α = 60.00°, β = 60.00°, γ = 60.00°
Last column: nearest neighbours and their distance in Å.
Atoms (fractional coordinates):
K1 0.0000 0.0000 0.0000  4 Tm 3.58
Tb1 0.5000 0.5000 0.5000  4 Tm 3.58
Tm1 0.2500 0.2500 0.2500  4 Tb 3.58, 4 K 3.58

=====

# 12
Here is crystalline ZrZn2SnPt4 at its relaxed geometry from OQMD via LeMat-Bulk. Energies are from PBE.

a = 4.4856 Å, b = 4.4856 Å, c = 6.7098 Å
α = 90.00°, β = 90.00°, γ = 90.00°
Last column: nearest neighbours and their distance in Å.
Atoms (fractional coordinates):
Zr1 0.0000 0.0000 0.0000  8 Pt 2.81
Zn1 0.0000 0.0000 0.5000  8 Pt 2.79
Zn2 0.5000 0.5000 0.0000  8 Pt 2.81
Sn1 0.5000 0.5000 0.5000  8 Pt 2.79
Pt1 0.0000 0.5000 0.2514  2 Sn 2.79, 4 Zn 2.79-2.81, 2 Zr 2.81
Pt2 0.0000 0.5000 0.7486  2 Sn 2.79, 4 Zn 2.79-2.81, 2 Zr 2.81
Pt3 0.5000 0.0000 0.2514  2 Sn 2.79, 4 Zn 2.79-2.81, 2 Zr 2.81
Pt4 0.5000 0.0000 0.7486  2 Sn 2.79, 4 Zn 2.79-2.81, 2 Zr 2.81

=====

We obtain DFT total energy values of -0.2976; -0.2034; -0.2371; -0.1843; -0.2152; -0.1314; -0.1884; -0.1904; -0.2766; -0.2440; -0.0818; -0.2023 hartree per atom for the records listed above, in that order.